Run i
The following is a PBE calculation of La3Dy2Y after structural relaxation, from the Alexandria database.

abc: 9.846 3.600 11.753
angles: 90.00 94.64 90.00
Space group P2_1/m (No. 11)
Inequivalent atoms, fractional coordinates:
La  0.072  0.250  0.118 [2 per cell]
La  0.251  0.250  0.864 [2 per cell]
La  0.400  0.250  0.605 [2 per cell]
Dy  0.077  0.750  0.619 [2 per cell]
Dy  0.433  0.250  0.145 [2 per cell]
Y  0.240  0.750  0.357 [2 per cell]

Density = 6.64 g/cm3
Density of states at the Fermi level = 19.01 states/eV/cell

***

Run ii
The following is a PBE calculation of La3Dy2Y after structural relaxation, from the Alexandria database.

abc: 7.334 7.359 9.102
angles: 90.05 101.76 119.83
Space group P-1 (No. 2)
Inequivalent atoms, fractional coordinates:
La  0.001  0.248  0.492 [2 per cell]
La  0.220  0.861  0.164 [2 per cell]
La  0.279  0.636  0.835 [2 per cell]
Dy  0.227  0.361  0.170 [2 per cell]
Dy  0.275  0.140  0.833 [2 per cell]
Y  0.499  0.746  0.495 [2 per cell]

Density = 6.66 g/cm3
Density of states at the Fermi level = 16.34 states/eV/cell

***

The calculated energies rank the structures as follows, beginning with the most stable: run ii, run i.